ScAgHg2 SCAN PBEsol geometry; V = 19.53 Å³/atom; E_form = -1.28 eV/f.u.; space group = P4/mmm (123)
1.0
3.430 0.000 0.000
0.000 3.430 0.000
0.000 0.000 6.639
Sc Ag Hg
1 1 2
direct
0.000 0.000 0.000
0.000 0.000 0.500
0.500 0.500 0.256
0.500 0.500 0.744